Record 1
SrPuAgPt | Alexandria via LeMat-Bulk | PBE | optimized geometry; symmetry = F-43m (216); electronic total energy = -26.254 eV/cell
1.0
5.197 0.000 0.000
2.599 4.501 0.000
2.599 1.500 4.244
Sr Ag Pt Pu
1 1 1 1
Cartesian
7.796 4.501 3.183 Sr
0.000 0.000 0.000 Ag
5.197 3.001 2.122 Pt
2.599 1.500 1.061 Pu


Record 2
TbPuAgPt | Alexandria via LeMat-Bulk | PBE | optimized geometry; symmetry = F-43m (216); electronic total energy = -29.893 eV/cell
1.0
5.057 0.000 0.000
2.529 4.380 0.000
2.529 1.460 4.129
Tb Ag Pt Pu
1 1 1 1
Cartesian
2.529 1.460 1.032 Tb
0.000 0.000 0.000 Ag
5.057 2.920 2.065 Pt
7.586 4.380 3.097 Pu


Number 2 is which compound?
TbPuAgPt